1.
A plane-wave DFT calculation with PBE-GGA was carried out for a relaxed structure of Cr3ReTc.

## Properties
M_tot (μB per formula unit): 0.000
Mass density (g cm⁻³): 11.0
Total energy (eV per atom): -10.06
E above lowest polymorph (meV/atom): 0
E_form (eV/f.u.): 1.40
Fermi-level density of states (states/eV/cell): 11.85

a b c (Å): 4.518 4.853 6.371
angles (deg): 90.00 107.44 90.00
Space group P2_1/m (No. 11)
Unique sites:
Cr 0.031 0.250 0.233 [2 per cell]
Cr 0.309 0.508 0.607 [4 per cell]
Re 0.174 0.750 0.216 [2 per cell]
Tc 0.395 0.250 0.008 [2 per cell]

2.
A plane-wave DFT calculation with PBE-GGA was carried out for a relaxed structure of Mg2PbCl.

## Properties
M_tot (μB per formula unit): 0.000
Mass density (g cm⁻³): 4.7
Total energy (eV per atom): -2.41
E above lowest polymorph (meV/atom): 335
Energy relative to the elements, uncorrected (eV/atom): -0.22
Fermi-level density of states (states/eV/cell): 4.17

a b c (Å): 4.295 4.295 11.082
angles (deg): 90.00 90.00 90.00
Space group I-4m2 (No. 119)
Unique sites:
Mg 0.000 0.000 0.000 [2 per cell]
Mg 0.000 0.500 0.250 [2 per cell]
Pb 0.000 0.500 0.750 [2 per cell]
Cl 0.000 0.000 0.500 [2 per cell]

3.
A plane-wave DFT calculation with PBE-GGA was carried out for a relaxed structure of CrNiCl2.

## Properties
M_tot (μB per formula unit): 4.000
Mass density (g cm⁻³): 3.7
Total energy (eV per atom): -4.85
E above lowest polymorph (meV/atom): 218
Energy relative to the elements, uncorrected (eV/atom): -0.07
Fermi-level density of states (states/eV/cell): 12.82

a b c (Å): 5.300 5.300 11.489
angles (deg): 90.00 90.00 90.00
Space group I-42d (No. 122)
Unique sites:
Cr 0.000 0.000 0.000 [4 per cell]
Ni 0.000 0.000 0.500 [4 per cell]
Cl 0.221 0.250 0.625 [8 per cell]

4.
A plane-wave DFT calculation with PBE-GGA was carried out for a relaxed structure of Tc2OsRu.

## Properties
M_tot (μB per formula unit): 0.775
Mass density (g cm⁻³): 13.7
Total energy (eV per atom): -9.88
E above lowest polymorph (meV/atom): 506
E_form (eV/f.u.): 1.72
Fermi-level density of states (states/eV/cell): 4.75

a b c (Å): 3.231 3.231 5.649
angles (deg): 90.00 90.00 90.00
Space group P4mm (No. 99)
Unique sites:
Tc 0.000 0.000 0.000 [1 per cell]
Tc 0.500 0.500 0.261 [1 per cell]
Os 0.000 0.000 0.523 [1 per cell]
Ru 0.500 0.500 0.744 [1 per cell]

5.
A plane-wave DFT calculation with PBE-GGA was carried out for a relaxed structure of Tl2AgTe2.

## Properties
M_tot (μB per formula unit): 0.000
Mass density (g cm⁻³): 7.9
Total energy (eV per atom): -2.84
E above lowest polymorph (meV/atom): 112
Energy relative to the elements, uncorrected (eV/atom): -0.07
Fermi-level density of states (states/eV/cell): 9.28

a b c (Å): 7.834 7.834 5.277
angles (deg): 90.00 90.00 90.00
Space group P4/mbm (No. 127)
Unique sites:
Tl 0.149 0.351 0.000 [4 per cell]
Ag 0.000 0.000 0.500 [2 per cell]
Te 0.167 0.667 0.500 [4 per cell]

6.
A plane-wave DFT calculation with PBE-GGA was carried out for a relaxed structure of CeEuMgZn.

## Properties
M_tot (μB per formula unit): 8.217
Mass density (g cm⁻³): 5.8
Total energy (eV per atom): -4.81
E_form (eV/f.u.): -0.17
Fermi-level density of states (states/eV/cell): 31.21

a b c (Å): 7.602 7.602 7.602
angles (deg): 90.00 90.00 90.00
Space group F-43m (No. 216)
Unique sites:
Ce 0.000 0.000 0.000 [4 per cell]
Eu 0.000 0.000 0.500 [4 per cell]
Mg 0.250 0.250 0.250 [4 per cell]
Zn 0.250 0.250 0.750 [4 per cell]

7.
A plane-wave DFT calculation with PBE-GGA was carried out for a relaxed structure of Sm2Np2Pt15.

## Properties
M_tot (μB per formula unit): 2.135
Mass density (g cm⁻³): 17.7
Total energy (eV per atom): -7.22
E_form (eV/f.u.): -11.33
Fermi-level density of states (states/eV/cell): 69.11

a b c (Å): 9.3082 9.3082 13.8484
angles (deg): 90.00 90.00 120.00
Space group R-3m (No. 166, hexagonal axes)
Unique sites:
Sm 0.0000 0.0000 0.1453 [6 per cell]
Np 0.0000 0.0000 0.4169 [6 per cell]
Pt 0.0000 0.3209 0.5000 [18 per cell]
Pt 0.0000 0.5000 0.0000 [9 per cell]
Pt 0.0016 0.5008 0.6602 [18 per cell]

8.
A plane-wave DFT calculation with PBE-GGA was carried out for a relaxed structure of SrGe3Au3.

## Properties
M_tot (μB per formula unit): 0.000
Mass density (g cm⁻³): 8.7
Total energy (eV per atom): -3.91
E above lowest polymorph (meV/atom): 0
E_form (eV/f.u.): -1.99
Fermi-level density of states (states/eV/cell): 4.20

a b c (Å): 8.278 4.685 9.550
angles (deg): 90.00 112.64 90.00
Space group P2_1/m (No. 11)
Unique sites:
Sr 0.149 0.250 0.286 [2 per cell]
Ge 0.187 0.750 0.033 [2 per cell]
Ge 0.225 0.250 0.686 [2 per cell]
Ge 0.432 0.750 0.578 [2 per cell]
Au 0.107 0.750 0.519 [2 per cell]
Au 0.132 0.250 0.914 [2 per cell]
Au 0.441 0.750 0.291 [2 per cell]